1.
ZrFeIr3: optimized geometry, PBE-GGA.

```
data_ZrFeIr3
_chemical_formula_sum 'Zr1 Fe1 Ir3'
_cell_length_a 4.817
_cell_length_b 4.817
_cell_length_c 4.817
_cell_angle_alpha 90.00
_cell_angle_beta 90.00
_cell_angle_gamma 90.00
_space_group_name_H-M_alt 'P 1'
_space_group_IT_number 1
_space_group_name_Hall 'P 1'
loop_
_atom_site_label
_atom_site_fract_x
_atom_site_fract_y
_atom_site_fract_z
_atom_site_occupancy
Ir1 0.500 0.000 0.000 1
Ir2 0.000 0.000 0.500 1
Ir3 0.000 0.500 0.000 1
Zr1 0.000 0.000 0.000 1
Fe1 0.500 0.500 0.500 1
```

Summary:
DOS at the Fermi energy = 3.0426 states/eV/atom
symmetry = Pm-3m
calculated volume = 22.359 Å³ per atom
relative energy among the computed polymorphs = 1480 meV per atom

***

2.
ZrFeIr2: optimized geometry, PBE-GGA.

```
data_ZrFeIr2
_chemical_formula_sum 'Zr1 Fe1 Ir2'
_cell_length_a 9.242
_cell_length_b 9.242
_cell_length_c 9.242
_cell_angle_alpha 17.55
_cell_angle_beta 17.55
_cell_angle_gamma 17.55
_space_group_name_H-M_alt 'P 1'
_space_group_IT_number 1
_space_group_name_Hall 'P 1'
loop_
_atom_site_label
_atom_site_fract_x
_atom_site_fract_y
_atom_site_fract_z
_atom_site_occupancy
Fe1 0.743 0.743 0.743 1
Ir1 0.254 0.254 0.254 1
Ir2 0.004 0.004 0.004 1
Zr1 0.499 0.499 0.499 1
```

Summary:
DOS at the Fermi energy = 1.0259 states/eV/atom
symmetry = R3m
calculated volume = 15.651 Å³ per atom
uncorrected energy = -8.59 eV per atom

***

3.
ZrFeIr2: optimized geometry, PBE-GGA.

```
data_ZrFeIr2
_chemical_formula_sum 'Zr1 Fe1 Ir2'
_cell_length_a 4.887
_cell_length_b 4.887
_cell_length_c 4.734
_cell_angle_alpha 79.22
_cell_angle_beta 79.22
_cell_angle_gamma 34.75
_space_group_name_H-M_alt 'P 1'
_space_group_IT_number 1
_space_group_name_Hall 'P 1'
loop_
_atom_site_label
_atom_site_fract_x
_atom_site_fract_y
_atom_site_fract_z
_atom_site_occupancy
Zr1 0.497 0.497 0.510 1
Ir1 0.741 0.741 0.756 1
Ir2 0.999 0.999 0.018 1
Fe1 0.262 0.262 0.216 1
```

Summary:
DOS at the Fermi energy = 1.1758 states/eV/atom
symmetry = Cm
calculated volume = 15.797 Å³ per atom
uncorrected energy = -8.93 eV per atom

***

4.
ZrFeIr2: optimized geometry, PBE-GGA.

```
data_ZrFeIr2
_chemical_formula_sum 'Zr1 Fe1 Ir2'
_cell_length_a 3.999
_cell_length_b 3.999
_cell_length_c 3.844
_cell_angle_alpha 90.00
_cell_angle_beta 90.00
_cell_angle_gamma 90.00
_space_group_name_H-M_alt 'P 1'
_space_group_IT_number 1
_space_group_name_Hall 'P 1'
loop_
_atom_site_label
_atom_site_fract_x
_atom_site_fract_y
_atom_site_fract_z
_atom_site_occupancy
Zr1 0.500 0.000 0.500 1
Ir1 0.000 0.000 0.000 1
Ir2 0.500 0.500 0.000 1
Fe1 0.000 0.500 0.500 1
```

Summary:
DOS at the Fermi energy = 1.1583 states/eV/atom
symmetry = P4/mmm
calculated volume = 15.365 Å³ per atom
uncorrected energy = -9.16 eV per atom